Record 1
CeNdSmAl | PBE | optimized geometry

abc: 5.398 5.398 5.398
angles: 60.00 60.00 60.00
Sites, in units of the cell vectors:
Ce 0.500 0.500 0.500
Sm 0.250 0.250 0.250
Nd 0.750 0.750 0.750
Al 0.000 0.000 0.000

As for the space group: F-43m (216). The value obtained for the uncorrected energy is -19.2 eV per cell. For the total magnetic moment, the calculation gives 0.00 Bohr magnetons per cell. Its energy of formation is 2 meV/atom.

=====

Record 2
K2NaHgBi | PBE | optimized geometry

abc: 6.253 5.665 6.253
angles: 90.00 90.00 90.00
Sites, in units of the cell vectors:
K 0.500 0.000 0.000
Hg 0.000 0.000 0.000
K 0.000 0.000 0.500
Na 0.000 0.500 0.000
Bi 0.500 0.500 0.500

As for the space group: P4/mmm (123). The value obtained for the uncorrected energy is -7.6 eV per cell. The relative energy among the computed polymorphs is 212 meV per atom. For the total magnetic moment, the calculation gives 0.00 Bohr magnetons per cell. Its energy of formation is 13 meV/atom.

=====

Record 3
Tb7ZnRu4 | PBE | optimized geometry

abc: 5.346 8.274 7.419
angles: 76.50 68.88 71.15
Sites, in units of the cell vectors:
Tb 0.786 0.874 0.554
Tb 0.075 0.643 0.207
Tb 0.925 0.357 0.793
Ru 0.567 0.221 0.646
Tb 0.500 0.000 0.000
Ru 0.702 0.649 0.947
Ru 0.298 0.351 0.053
Tb 0.325 0.625 0.725
Ru 0.433 0.779 0.354
Zn 0.000 0.000 0.000
Tb 0.214 0.126 0.446
Tb 0.675 0.375 0.275

As for the space group: C2/m (12). The value obtained for the uncorrected energy is -72.1 eV per cell. For the total magnetic moment, the calculation gives 0.00 Bohr magnetons per cell. Its energy of formation is -110 meV/atom.

=====

Record 4
La5CdAu2 | PBE | optimized geometry

abc: 8.569 8.569 9.046
angles: 118.27 118.27 90.00
Sites, in units of the cell vectors:
La 0.988 0.488 0.291
La 0.803 0.988 0.291
Au 0.633 0.133 0.000
La 0.697 0.197 0.709
La 0.303 0.803 0.291
La 0.197 0.012 0.709
La 0.488 0.303 0.291
La 0.512 0.697 0.709
La 0.000 0.000 0.000
Cd 0.750 0.750 0.500
La 0.500 0.500 0.000
Au 0.867 0.633 0.000
La 0.012 0.512 0.709
Au 0.367 0.867 0.000
Cd 0.250 0.250 0.500
Au 0.133 0.367 0.000

As for the space group: I4/mcm (140). The value obtained for the uncorrected energy is -71.8 eV per cell. For the total magnetic moment, the calculation gives 0.00 Bohr magnetons per cell. Its energy of formation is -476 meV/atom.

=====

Record 5
TlNiSb3 | PBE | optimized geometry

abc: 5.116 5.116 5.116
angles: 90.00 90.00 90.00
Sites, in units of the cell vectors:
Sb 0.000 0.000 0.500
Ni 0.000 0.000 0.000
Tl 0.500 0.500 0.500
Sb 0.000 0.500 0.000
Sb 0.500 0.000 0.000

As for the space group: Pm-3m (221). The value obtained for the uncorrected energy is -19.3 eV per cell. The relative energy among the computed polymorphs is 0 meV per atom. The value obtained for the formation energy (no corrections) is 0.248 eV per atom. For the total magnetic moment, the calculation gives 0.00 Bohr magnetons per cell.

=====

Record 6
Er2CdSi3Pt4 | PBE | optimized geometry

abc: 4.104 4.104 10.812
angles: 90.00 90.00 90.00
Sites, in units of the cell vectors:
Pt 0.500 0.500 0.000
Pt 0.000 0.000 0.000
Er 0.500 0.000 0.243
Pt 0.000 0.500 0.340
Si 0.000 0.000 0.500
Er 0.000 0.500 0.757
Si 0.000 0.500 0.127
Cd 0.500 0.500 0.500
Si 0.500 0.000 0.873
Pt 0.500 0.000 0.660

As for the space group: P-4m2 (115). The value obtained for the uncorrected energy is -59.8 eV per cell. The value obtained for the formation energy (no corrections) is -0.928 eV per atom. For the total magnetic moment, the calculation gives 0.00 Bohr magnetons per cell.

=====

Record 7
Nd12Sm7Tl | PBE | optimized geometry

abc: 9.039 9.039 9.039
angles: 81.40 81.40 81.40
Sites, in units of the cell vectors:
Sm 0.140 0.140 0.458
Nd 0.463 0.463 0.847
Sm 0.458 0.140 0.140
Nd 0.180 0.782 0.782
Sm 0.860 0.542 0.860
Nd 0.782 0.180 0.782
Nd 0.153 0.537 0.537
Sm 0.860 0.860 0.542
Nd 0.463 0.847 0.463
Nd 0.537 0.153 0.537
Sm 0.542 0.860 0.860
Nd 0.218 0.218 0.820
Nd 0.820 0.218 0.218
Sm 0.140 0.458 0.140
Nd 0.537 0.537 0.153
Sm 0.500 0.500 0.500
Tl 0.000 0.000 0.000
Nd 0.847 0.463 0.463
Nd 0.782 0.782 0.180
Nd 0.218 0.820 0.218

As for the space group: R-3m (166). The value obtained for the uncorrected energy is -89.5 eV per cell. For the total magnetic moment, the calculation gives 0.00 Bohr magnetons per cell. Its energy of formation is 155 meV/atom.

=====

Record 8
ZnInCl3 | PBE | optimized geometry

abc: 8.590 8.590 8.226
angles: 58.53 58.53 90.00
Sites, in units of the cell vectors:
Cl 0.008 0.317 0.984
In 0.000 0.000 0.000
Cl 0.783 0.783 0.435
Cl 0.301 0.992 0.016
Zn 0.855 0.355 0.289
Cl 0.008 0.699 0.984
Cl 0.683 0.992 0.016
In 0.250 0.750 0.500
Cl 0.217 0.217 0.565
Zn 0.645 0.145 0.711

As for the space group: I-4m2 (119). The value obtained for the uncorrected energy is -27.6 eV per cell. The relative energy among the computed polymorphs is 179 meV per atom. The value obtained for the formation energy (no corrections) is -0.846 eV per atom. For the total magnetic moment, the calculation gives 0.00 Bohr magnetons per cell.

=====

Question: uncorrected energy of number 5 (TlNiSb3)?
Answer: -19.3 eV per cell